## ThAlGePt3 (PBE)

Data for a geometry-optimized ThAlGePt3 structure.

Results
DOS(E_F)   17.31 states/eV per cell
Magnetic moment   0.00 μB per atom
E_form   -781 meV per atom

Cell lengths 5.6734, 16.1463, 5.6196 Å; angles 90.00, 90.00, 90.00 degrees
With the nearest neighbours (Å) after each atom.
Space group Cmcm (No. 63)
Symmetry-distinct sites (fractional):
Th 0.0000 0.1884 0.2500 x4  4 Pt 2.99-3.00, 2 Ge 3.18, 2 Al 3.23
Al 0.0000 0.4069 0.7500 x4  5 Pt 2.49-2.50
Ge 0.0000 0.0960 0.7500 x4  5 Pt 2.52-2.53
Pt 0.0000 0.2528 0.7500 x4  1 Al 2.49, 1 Ge 2.53
Pt 0.2492 0.0000 0.0000 x8  2 Al 2.50, 2 Ge 2.52

## Al2TlGePt (PBE)

Data for a geometry-optimized Al2TlGePt structure.

Results
DOS(E_F)   3.43 states/eV per cell
Magnetic moment   0.00 μB per atom
E_form   378 meV per atom

Cell lengths 5.0207, 5.0207, 4.7533 Å; angles 90.00, 90.00, 90.00 degrees
With the nearest neighbours (Å) after each atom.
Space group P4/mmm (No. 123)
Symmetry-distinct sites (fractional):
Al 0.0000 0.5000 0.0000 x2  2 Ge 2.51
Tl 0.0000 0.0000 0.5000 x1  8 Al 3.46, 4 Pt 3.55
Ge 0.5000 0.5000 0.0000 x1  2 Pt 2.38, 4 Al 2.51
Pt 0.5000 0.5000 0.5000 x1  2 Ge 2.38

## Tm2AlGe3Pt4 (PBE)

Data for a geometry-optimized Tm2AlGe3Pt4 structure.

Results
DOS(E_F)   5.90 states/eV per cell
Magnetic moment   0.00 μB per atom
E_form   -929 meV per atom

Cell lengths 4.1258, 4.1258, 10.7706 Å; angles 90.00, 90.00, 90.00 degrees
With the nearest neighbours (Å) after each atom.
Space group P-4m2 (No. 115)
Symmetry-distinct sites (fractional):
Tm 0.0000 0.5000 0.2448 x2  6 Ge 3.13-3.44, 8 Pt 3.18-3.35, 2 Al 3.44
Al 0.0000 0.0000 0.5000 x1  4 Pt 2.54
Ge 0.0000 0.5000 0.8616 x2  5 Pt 2.42-2.55
Ge 0.5000 0.5000 0.5000 x1  4 Pt 2.54
Pt 0.0000 0.0000 0.0000 x1  4 Ge 2.55
Pt 0.0000 0.5000 0.6373 x2  3 Ge 2.42-2.54, 2 Al 2.54
Pt 0.5000 0.5000 0.0000 x1  4 Ge 2.55

## U2AlGe3Pt4 (PBE)

Data for a geometry-optimized U2AlGe3Pt4 structure.

Results
DOS(E_F)   17.57 states/eV per cell
Magnetic moment   0.50 μB per atom
E_form   -624 meV per atom

Cell lengths 4.1649, 4.1649, 10.7131 Å; angles 90.00, 90.00, 90.00 degrees
With the nearest neighbours (Å) after each atom.
Space group P-4m2 (No. 115)
Symmetry-distinct sites (fractional):
U 0.0000 0.5000 0.2460 x2  6 Ge 3.17-3.43, 8 Pt 3.21-3.36, 2 Al 3.43
Al 0.0000 0.0000 0.5000 x1  4 Pt 2.53
Ge 0.0000 0.5000 0.8622 x2  5 Pt 2.44-2.55
Ge 0.5000 0.5000 0.5000 x1  4 Pt 2.53
Pt 0.0000 0.0000 0.0000 x1  4 Ge 2.55
Pt 0.0000 0.5000 0.6342 x2  3 Ge 2.44-2.53, 2 Al 2.53
Pt 0.5000 0.5000 0.0000 x1  4 Ge 2.55

## YAlGePt3 (PBE)

Data for a geometry-optimized YAlGePt3 structure.

Results
DOS(E_F)   11.91 states/eV per cell
Magnetic moment   0.00 μB per atom
E_form   -787 meV per atom

Cell lengths 5.6147, 16.0200, 5.5855 Å; angles 90.00, 90.00, 90.00 degrees
With the nearest neighbours (Å) after each atom.
Space group Cmcm (No. 63)
Symmetry-distinct sites (fractional):
Y 0.0000 0.1909 0.2500 x4  4 Pt 2.95-2.96, 2 Ge 3.17, 2 Al 3.19
Al 0.0000 0.4040 0.7500 x4  5 Pt 2.45-2.51
Ge 0.0000 0.0970 0.7500 x4  5 Pt 2.47-2.52
Pt 0.0000 0.2511 0.7500 x4  1 Al 2.45, 1 Ge 2.47
Pt 0.2505 0.0000 0.0000 x8  2 Al 2.51, 2 Ge 2.52, 3 Pt 2.79-2.80

## Y2Al4GePt3 (PBE)

Data for a geometry-optimized Y2Al4GePt3 structure.

Results
DOS(E_F)   7.14 states/eV per cell
Magnetic moment   0.00 μB per atom
E_form   -971 meV per atom

Cell lengths 4.2570, 4.2570, 10.3941 Å; angles 90.00, 90.00, 90.00 degrees
With the nearest neighbours (Å) after each atom.
Space group P-4m2 (No. 115)
Symmetry-distinct sites (fractional):
Y 0.0000 0.5000 0.2499 x2  8 Al 3.23-3.36, 6 Pt 3.26-3.36, 2 Ge 3.36
Al 0.0000 0.0000 0.0000 x1  4 Pt 2.52
Al 0.0000 0.5000 0.6372 x2  3 Pt 2.42-2.56, 2 Ge 2.56
Al 0.5000 0.5000 0.0000 x1  4 Pt 2.52
Ge 0.0000 0.0000 0.5000 x1  4 Al 2.56
Pt 0.0000 0.5000 0.8696 x2  5 Al 2.42-2.52
Pt 0.5000 0.5000 0.5000 x1  4 Al 2.56

## Y2AlGePt6 (PBE)

Data for a geometry-optimized Y2AlGePt6 structure.

Results
DOS(E_F)   8.98 states/eV per cell
Magnetic moment   0.00 μB per atom
E_form   -887 meV per atom

Cell lengths 5.5937, 5.5937, 23.0747 Å; angles 90.00, 90.00, 120.00 degrees
With the nearest neighbours (Å) after each atom.
Space group R-3m (No. 166, hexagonal axes)
Symmetry-distinct sites (fractional):
Y 0.0000 0.0000 0.2030 x6  9 Pt 2.99-3.18, 3 Al 3.34
Al 0.0000 0.0000 0.5000 x3  6 Pt 2.49
Ge 0.0000 0.0000 0.0000 x3  6 Pt 2.53
Pt 0.0013 0.5007 0.2490 x18  1 Al 2.49, 1 Ge 2.53, 2 Pt 2.79

## Pu2Al2Ge3 (PBE)

Data for a geometry-optimized Pu2Al2Ge3 structure.

Results
DOS(E_F)   64.48 states/eV per cell
Magnetic moment   1.56 μB per atom
E_form   -361 meV per atom

Cell lengths 15.3073, 4.2840, 11.5872 Å; angles 90.00, 127.30, 90.00 degrees
With the nearest neighbours (Å) after each atom.
Space group C2/m (No. 12)
Symmetry-distinct sites (fractional):
Pu 0.0914 0.0000 0.4365 x4  7 Ge 3.04-3.26, 3 Al 3.19-3.22
Pu 0.2336 0.0000 0.8294 x4  6 Ge 2.94-2.99
Al 0.0558 0.5000 0.8145 x4  4 Ge 2.55-2.67
Al 0.0950 0.0000 0.1617 x4  4 Ge 2.54-2.69
Ge 0.0930 0.5000 0.6246 x4  1 Ge 2.54, 1 Al 2.59
Ge 0.1212 0.0000 0.9652 x4  4 Al 2.54-2.69
Ge 0.1604 0.5000 0.3187 x4  3 Al 2.59-2.67

Q: Which value of DOS(E_F) does entry 7 give?
A: 8.98 states/eV per cell

Q: Look up the magnetic moment of the third one.
A: 0.00 μB per atom